CsTl2PO4 (PBE-GGA, relaxed); mass density = 6.59 Mg/m³; E_form (uncorrected) = -109.8 kJ per mole of atoms; D(E_F) = 6.93 states/eV/cell
1.0
-4.124 4.407 4.416
4.124 -4.407 4.416
4.124 4.407 -4.416
Cs Tl P O
2 4 2 8
Cartesian
0.000 0.000 0.000 Cs
0.000 4.407 0.000 Cs
4.124 0.000 0.000 Tl
-2.062 2.204 2.208 Tl
0.000 0.000 4.416 Tl
2.062 2.204 2.208 Tl
2.062 2.204 -2.208 P
2.062 -2.204 2.208 P
2.062 3.837 -2.208 O
2.202 2.204 -0.574 O
2.062 -0.570 2.208 O
6.046 2.204 -0.574 O
-2.062 4.978 2.208 O
-1.922 2.204 4.990 O
2.062 4.978 2.208 O
1.922 2.204 4.990 O